## Pr3NdN2F2 (PBE-GGA)

Data for an optimized crystal structure of Pr3NdN2F2.

a b c (Å): 3.5695 3.5695 12.6756
angles (deg): 90.00 90.00 120.00
With the nearest neighbours (Å) after each atom.
Atoms (fractional coordinates):
Pr 0.0000 0.0000 0.0000  3 N 2.50, 3 F 2.74
Pr 0.0000 0.0000 0.2849  3 N 2.48, 3 F 2.74
Pr 0.6667 0.3333 0.5013  3 N 2.48, 3 F 2.76
Nd 0.6667 0.3333 0.7856  3 N 2.44, 3 F 2.71
N 0.3333 0.6667 0.3931  6 Pr 2.48
N 0.3333 0.6667 0.8889  3 Nd 2.44, 3 Pr 2.50
F 0.0000 0.0000 0.6464  3 Nd 2.71, 3 Pr 2.76
F 0.6667 0.3333 0.1430  6 Pr 2.74

Results
**Space-group type**: P3m1, No. 156

## PrNdNF (PBE-GGA)

Data for an optimized crystal structure of PrNdNF.

a b c (Å): 3.5578 3.5578 12.6434
angles (deg): 90.00 90.00 120.00
With the nearest neighbours (Å) after each atom.
Atoms (fractional coordinates):
Pr 0.3333 0.6667 0.3912  3 N 2.47, 3 F 2.75
Pr 0.6667 0.3333 0.6088  3 N 2.47, 3 F 2.75
Nd 0.3333 0.6667 0.1065  3 N 2.46, 3 F 2.71
Nd 0.6667 0.3333 0.8935  3 N 2.46, 3 F 2.71
N 0.0000 0.0000 0.0000  6 Nd 2.46
N 0.0000 0.0000 0.5000  6 Pr 2.47
F 0.3333 0.6667 0.7538  3 Nd 2.71, 3 Pr 2.75
F 0.6667 0.3333 0.2462  3 Nd 2.71, 3 Pr 2.75

Results
**Space-group type**: P-3m1, No. 164

## RbTaNOF (PBE-GGA)

Data for an optimized crystal structure of RbTaNOF.

a b c (Å): 4.0062 4.2343 4.2001
angles (deg): 90.00 90.00 90.00
With the nearest neighbours (Å) after each atom.
Atoms (fractional coordinates):
Rb 0.0000 0.0000 0.0000  4 F 2.85-2.96, 4 O 2.89-3.07, 4 N 2.92
Ta 0.5000 0.5000 0.4746  1 N 1.82, 2 O 2.02
N 0.5000 0.5000 0.0409  1 Ta 1.82
O 0.0000 0.5000 0.5302  2 Ta 2.02
F 0.5000 0.0000 0.5185  2 Ta 2.13

Results
**Space-group type**: Pmm2, No. 25

## ReNF6 (PBE-GGA)

Data for an optimized crystal structure of ReNF6.

a b c (Å): 4.7196 8.2965 8.6916
angles (deg): 90.00 106.50 90.00
With the nearest neighbours (Å) after each atom.
Atoms (fractional coordinates):
Re 0.0000 0.1462 0.0000  1 N 1.72, 5 F 1.86-1.89
Re 0.0000 0.8538 0.5000  1 N 1.72, 5 F 1.86-1.89
Re 0.4143 0.3540 0.5740  1 N 1.72, 5 F 1.86-1.89
Re 0.4143 0.6460 0.0740  1 N 1.72, 5 F 1.86-1.89
N 0.6453 0.4866 0.7034  1 F 1.28
N 0.6453 0.5134 0.2034  1 F 1.28
N 0.7690 0.0138 0.8704  1 F 1.28
N 0.7690 0.9862 0.3704  1 F 1.28
F 0.0250 0.0185 0.1790  1 Re 1.86
F 0.0247 0.2977 0.8462  1 Re 1.86
F 0.0247 0.7023 0.3462  1 Re 1.86
F 0.0250 0.9815 0.6790  1 Re 1.86
F 0.0657 0.4482 0.5894  1 Re 1.86
F 0.0657 0.5518 0.0894  1 Re 1.86
F 0.1582 0.2162 0.4231  1 Re 1.89
F 0.1582 0.7838 0.9231  1 Re 1.89
F 0.2564 0.2835 0.1512  1 Re 1.89
F 0.2564 0.7165 0.6512  1 Re 1.89
F 0.3485 0.0522 0.9841  1 Re 1.86
F 0.3485 0.9478 0.4841  1 Re 1.86
F 0.3890 0.2032 0.7283  1 Re 1.86
F 0.3890 0.7968 0.2283  1 Re 1.86
F 0.3897 0.4813 0.3947  1 Re 1.86
F 0.3897 0.5187 0.8947  1 Re 1.86
F 0.6045 0.0923 0.2812  1 N 1.28
F 0.6045 0.9077 0.7812  1 N 1.28
F 0.7009 0.2761 0.0334  1 Re 1.86
F 0.7009 0.7239 0.5334  1 Re 1.86
F 0.7134 0.2237 0.5412  1 Re 1.86
F 0.7134 0.7763 0.0412  1 Re 1.86
F 0.8098 0.4073 0.2927  1 N 1.28
F 0.8098 0.5927 0.7927  1 N 1.28

Results
**Space-group type**: Pc, No. 7

## ReSe2NF6 (PBE-GGA)

Data for an optimized crystal structure of ReSe2NF6.

a b c (Å): 5.5792 5.5792 5.0542
angles (deg): 90.03 90.03 64.99
With the nearest neighbours (Å) after each atom.
Atoms (fractional coordinates):
Re 0.0000 0.0000 0.0000  6 F 1.90-1.92
Se 0.3444 0.3444 0.6496  1 N 1.65
Se 0.6556 0.6556 0.3504  1 N 1.65
N 0.5000 0.5000 0.5000  2 Se 1.65
F 0.0966 0.6500 0.1342  1 Re 1.92
F 0.1038 0.1038 0.3221  1 Re 1.90
F 0.3500 0.9034 0.8658  1 Re 1.92
F 0.6500 0.0966 0.1342  1 Re 1.92
F 0.8962 0.8962 0.6779  1 Re 1.90
F 0.9034 0.3500 0.8658  1 Re 1.92

Results
**Space-group type**: C2/m, No. 12

## Zn2SnN4F (PBE-GGA)

Data for an optimized crystal structure of Zn2SnN4F.

a b c (Å): 4.6520 4.6520 10.2875
angles (deg): 90.00 90.00 90.00
With the nearest neighbours (Å) after each atom.
Atoms (fractional coordinates):
Zn 0.0000 0.0000 0.0000  4 N 1.98
Zn 0.0000 0.5000 0.2500  4 N 1.96
Zn 0.5000 0.0000 0.7500  4 N 1.96
Zn 0.5000 0.5000 0.5000  4 N 1.98
Sn 0.0000 0.0000 0.5000  4 N 2.08
Sn 0.5000 0.5000 0.0000  4 N 2.08
N 0.1014 0.3809 0.0729  1 N 1.46
N 0.1191 0.6014 0.4271  1 N 1.46
N 0.3809 0.8986 0.9271  1 N 1.46
N 0.3986 0.1191 0.5729  1 N 1.46
N 0.6014 0.8809 0.5729  1 N 1.46
N 0.6191 0.1014 0.9271  1 N 1.46
N 0.8809 0.3986 0.4271  1 N 1.46
N 0.8986 0.6191 0.0729  1 N 1.46
F 0.0000 0.5000 0.7500  8 N 3.15-3.40, 8 Zn 3.29-3.47, 4 Sn 3.47
F 0.5000 0.0000 0.2500  8 N 3.15-3.40, 8 Zn 3.29-3.47, 4 Sn 3.47

Results
**Space-group type**: I-4, No. 82

## UN2F2 (PBE-GGA)

Data for an optimized crystal structure of UN2F2.

a b c (Å): 4.1334 7.3043 4.4265
angles (deg): 90.00 90.00 90.00
With the nearest neighbours (Å) after each atom.
Atoms (fractional coordinates):
U 0.0000 0.0000 0.0000  6 F 2.30-2.48, 4 N 2.30
U 0.5000 0.5000 0.0000  6 F 2.30-2.48, 4 N 2.30
N 0.1037 0.0646 0.5000  1 N 1.28
N 0.3963 0.5646 0.5000  1 N 1.28
N 0.6037 0.4354 0.5000  1 N 1.28
N 0.8963 0.9354 0.5000  1 N 1.28
F 0.0260 0.3353 0.0000  3 U 2.30-2.48, 3 F 2.41-2.42
F 0.4740 0.8353 0.0000  3 U 2.30-2.48, 3 F 2.41-2.42
F 0.5260 0.1647 0.0000  3 U 2.30-2.48, 3 F 2.41-2.42
F 0.9740 0.6647 0.0000  3 U 2.30-2.48, 3 F 2.41-2.42

Results
**Space-group type**: Pbam, No. 55

## Zn2NF (PBE-GGA)

Data for an optimized crystal structure of Zn2NF.

a b c (Å): 4.6545 4.6545 9.8279
angles (deg): 90.00 90.00 90.00
With the nearest neighbours (Å) after each atom.
Atoms (fractional coordinates):
Zn 0.1882 0.7500 0.1250  2 N 1.91
Zn 0.2500 0.1882 0.8750  2 N 1.91
Zn 0.2500 0.3118 0.3750  2 N 1.91
Zn 0.3118 0.7500 0.6250  2 N 1.91
Zn 0.6882 0.2500 0.6250  2 N 1.91
Zn 0.7500 0.6882 0.3750  2 N 1.91
Zn 0.7500 0.8118 0.8750  2 N 1.91
Zn 0.8118 0.2500 0.1250  2 N 1.91
N 0.0000 0.0000 0.0000  4 Zn 1.91
N 0.0000 0.5000 0.2500  4 Zn 1.91
N 0.5000 0.0000 0.7500  4 Zn 1.91
N 0.5000 0.5000 0.5000  4 Zn 1.91
F 0.0000 0.0000 0.5000  4 Zn 2.23
F 0.0000 0.5000 0.7500  4 Zn 2.23
F 0.5000 0.0000 0.2500  4 Zn 2.23
F 0.5000 0.5000 0.0000  4 Zn 2.23

Results
**Space-group type**: I-42d, No. 122

## ZnNF (PBE-GGA)

Data for an optimized crystal structure of ZnNF.

a b c (Å): 3.1055 3.1055 15.4655
angles (deg): 90.00 90.00 90.00
With the nearest neighbours (Å) after each atom.
Atoms (fractional coordinates):
Zn 0.0000 0.0000 0.1691  1 N 2.04, 4 F 2.20
Zn 0.0000 0.0000 0.8309  1 N 2.04, 4 F 2.20
Zn 0.5000 0.5000 0.3309  1 N 2.04, 4 F 2.20
Zn 0.5000 0.5000 0.6691  1 N 2.04, 4 F 2.20
N 0.0000 0.0000 0.0375  1 N 1.16
N 0.0000 0.0000 0.9625  1 N 1.16
N 0.5000 0.5000 0.4625  1 N 1.16
N 0.5000 0.5000 0.5375  1 N 1.16
F 0.0000 0.0000 0.3298  4 Zn 2.20
F 0.0000 0.0000 0.6702  4 Zn 2.20
F 0.5000 0.5000 0.1702  4 Zn 2.20
F 0.5000 0.5000 0.8298  4 Zn 2.20

Results
**Space-group type**: I4/mmm, No. 139

## Na5Nb2F13 (PBE-GGA)

Data for an optimized crystal structure of Na5Nb2F13.

a b c (Å): 6.1973 6.1973 8.1803
angles (deg): 96.08 96.08 51.19
With the nearest neighbours (Å) after each atom.
Atoms (fractional coordinates):
Na 0.0000 0.0000 0.0000  8 F 2.22-2.46
Na 0.1621 0.1621 0.4280  6 F 2.21-2.29
Na 0.2793 0.2793 0.8442  8 F 2.30-2.38
Na 0.7207 0.7207 0.1558  8 F 2.30-2.38
Na 0.8379 0.8379 0.5720  6 F 2.21-2.29
Nb 0.4266 0.4266 0.2543  7 F 2.03-2.08
Nb 0.5734 0.5734 0.7457  7 F 2.03-2.08
F 0.0709 0.5607 0.3576  1 Nb 2.05, 2 Na 2.21-2.29
F 0.1344 0.5925 0.0656  1 Nb 2.03, 1 Na 2.22
F 0.1893 0.6828 0.7548  1 Nb 2.03, 1 Na 2.21
F 0.3172 0.8107 0.2452  1 Nb 2.03, 1 Na 2.21
F 0.4075 0.8656 0.9344  1 Nb 2.03, 1 Na 2.22
F 0.4393 0.9291 0.6424  1 Nb 2.05, 2 Na 2.21-2.29
F 0.5000 0.5000 0.5000  2 Nb 2.08
F 0.5607 0.0709 0.3576  1 Nb 2.05, 2 Na 2.21-2.29
F 0.5925 0.1344 0.0656  1 Nb 2.03, 1 Na 2.22
F 0.6828 0.1893 0.7548  1 Nb 2.03, 1 Na 2.21
F 0.8107 0.3172 0.2452  1 Nb 2.03, 1 Na 2.21
F 0.8656 0.4075 0.9344  1 Nb 2.03, 1 Na 2.22
F 0.9291 0.4393 0.6424  1 Nb 2.05, 2 Na 2.21-2.29

Results
**Space-group type**: C2/m, No. 12

## NaNbO2F (PBE-GGA)

Data for an optimized crystal structure of NaNbO2F.

a b c (Å): 5.5595 7.9957 5.4630
angles (deg): 90.00 90.00 90.00
With the nearest neighbours (Å) after each atom.
Atoms (fractional coordinates):
Na 0.0355 0.2500 0.0345  1 F 2.25, 4 O 2.38-2.51
Na 0.4645 0.7500 0.5345  1 F 2.25, 4 O 2.38-2.51
Na 0.5355 0.2500 0.4655  1 F 2.25, 4 O 2.38-2.51
Na 0.9645 0.7500 0.9655  1 F 2.25, 4 O 2.38-2.51
Nb 0.0000 0.0000 0.5000  4 O 2.00, 2 F 2.13
Nb 0.0000 0.5000 0.5000  4 O 2.00, 2 F 2.13
Nb 0.5000 0.0000 0.0000  4 O 2.00, 2 F 2.13
Nb 0.5000 0.5000 0.0000  4 O 2.00, 2 F 2.13
O 0.2199 0.5473 0.7818  2 Nb 2.00
O 0.2199 0.9527 0.7818  2 Nb 2.00
O 0.2801 0.0473 0.2818  2 Nb 2.00
O 0.2801 0.4527 0.2818  2 Nb 2.00
O 0.7199 0.5473 0.7182  2 Nb 2.00
O 0.7199 0.9527 0.7182  2 Nb 2.00
O 0.7801 0.0473 0.2182  2 Nb 2.00
O 0.7801 0.4527 0.2182  2 Nb 2.00
F 0.0337 0.7500 0.3712  2 Nb 2.13, 1 Na 2.25
F 0.4663 0.2500 0.8712  2 Nb 2.13, 1 Na 2.25
F 0.5337 0.7500 0.1288  2 Nb 2.13, 1 Na 2.25
F 0.9663 0.2500 0.6288  2 Nb 2.13, 1 Na 2.25

Results
**Space-group type**: Pnma, No. 62

## NaNb6O15F (PBE-GGA)

Data for an optimized crystal structure of NaNb6O15F.

a b c (Å): 3.9233 9.0056 9.0056
angles (deg): 69.97 90.00 90.00
With the nearest neighbours (Å) after each atom.
Atoms (fractional coordinates):
Na 0.0000 0.0000 0.0000  9 O 2.49-2.70
Nb 0.5000 0.0252 0.6688  5 O 1.90-2.03
Nb 0.5000 0.1837 0.1837  6 O 1.96-2.04
Nb 0.5000 0.4025 0.4025  2 F 1.96, 5 O 2.03-2.05
Nb 0.5000 0.4095 0.7759  6 O 1.92-2.15
Nb 0.5000 0.6688 0.0252  5 O 1.90-2.03
Nb 0.5000 0.7759 0.4095  6 O 1.92-2.15
O 0.0000 0.0392 0.6888  2 Nb 1.98
O 0.0000 0.1814 0.1814  2 Nb 1.96
O 0.0000 0.4113 0.7652  2 Nb 1.96
O 0.0000 0.6888 0.0392  2 Nb 1.98
O 0.0000 0.7652 0.4113  2 Nb 1.96
O 0.5000 0.1708 0.4139  3 Nb 2.04-2.22
O 0.5000 0.2168 0.9546  2 Nb 1.92-1.98
O 0.5000 0.2603 0.6338  3 Nb 2.03-2.15
O 0.5000 0.4139 0.1708  3 Nb 2.04-2.22
O 0.5000 0.5399 0.5399  3 Nb 2.03-2.05
O 0.5000 0.5763 0.8647  2 Nb 1.90-1.93
O 0.5000 0.6338 0.2603  3 Nb 2.03-2.15
O 0.5000 0.8647 0.5763  2 Nb 1.90-1.93
O 0.5000 0.8956 0.8956  2 Nb 1.98
O 0.5000 0.9546 0.2168  2 Nb 1.92-1.98
F 0.0000 0.4028 0.4028  2 Nb 1.96

Results
**Space-group type**: Amm2, No. 38

Number 1: final energy -0.50543 Ry/atom. Number 2: final energy -0.50555 Ry/atom. Number 3: final energy -0.54594 Ry/atom. Number 4: final energy -0.39365 Ry/atom. Number 5: final energy -0.37431 Ry/atom. Number 6: final energy -0.36109 Ry/atom. Number 7: final energy -0.60083 Ry/atom. Number 8: final energy -0.29452 Ry/atom. Number 9: final energy -0.32621 Ry/atom. Number 10: final energy -0.39830 Ry/atom. Number 11: final energy -0.51436 Ry/atom. Number 12: final energy -0.62455 Ry/atom.